(1)
Below is a relaxed Tl2VZnIr crystal, with properties calculated at the PBE-GGA level.

The structure belongs to space group P4/mmm (No. 123); the cell edges are 5.428, 5.428 and 4.490 Å and the angles 90.00°, 90.00° and 90.00°. The distinct sites, in fractional coordinates, are Tl at (0.000, 0.500, 0.000), V at (0.000, 0.000, 0.000), Zn at (0.500, 0.500, 0.500) and Ir at (0.000, 0.000, 0.500).

The formation energy from the elements comes out at 0.844 eV per atom. The calculation puts the total energy at -3.95 eV per atom. The value obtained for the density of states at the Fermi level is 5.3 states/eV per cell. For the total moment, the calculation gives 0.317 μB per atom. As for the mass density: 9.003 g/cm3.


(2)
Below is a relaxed PrNdOs4 crystal, with properties calculated at the PBE-GGA level.

The structure belongs to space group F-43m (No. 216); the cell edges are 7.713, 7.713 and 7.713 Å and the angles 90.00°, 90.00° and 90.00°. The distinct sites, in fractional coordinates, are Pr at (0.000, 0.000, 0.000), Nd at (0.250, 0.250, 0.750) and Os at (0.125, 0.125, 0.375).

The formation energy from the elements comes out at -0.051 eV per atom. The calculation puts the total energy at -9.13 eV per atom. The value obtained for the density of states at the Fermi level is 27.6 states/eV per cell. For the total moment, the calculation gives 0.000 μB per atom. As for the mass density: 15.141 g/cm3.


(3)
Below is a relaxed ZrCu3Au crystal, with properties calculated at the PBE-GGA level.

The structure belongs to space group Pm-3m (No. 221); the cell edges are 4.667, 4.667 and 4.667 Å and the angles 90.00°, 90.00° and 90.00°. The distinct sites, in fractional coordinates, are Zr at (0.000, 0.000, 0.000), Cu at (0.000, 0.500, 0.500) and Au at (0.500, 0.500, 0.500).

The formation energy from the elements comes out at 0.762 eV per atom. The calculation puts the total energy at -4.06 eV per atom. For the energy above the most stable polymorph in this dataset, the calculation gives 0 meV per atom. The value obtained for the density of states at the Fermi level is 5.5 states/eV per cell. For the total moment, the calculation gives 0.241 μB per atom. As for the mass density: 7.820 g/cm3.


(4)
Below is a relaxed KPb crystal, with properties calculated at the PBE-GGA level.

The structure belongs to space group P-3m1 (No. 164); the cell edges are 4.7782, 4.7782 and 9.9631 Å and the angles 90.00°, 90.00° and 120.00°. The distinct sites, in fractional coordinates, are K at (0.3333, 0.6667, 0.1935) and Pb at (0.3333, 0.6667, 0.5730).

The formation energy from the elements comes out at -0.062 eV per atom. The calculation puts the total energy at -2.46 eV per atom. For the energy above the most stable polymorph in this dataset, the calculation gives 180 meV per atom. The value obtained for the density of states at the Fermi level is 1.1 states/eV per cell. For the total moment, the calculation gives 0.000 μB per atom. As for the mass density: 4.152 g/cm3.


(5)
Below is a relaxed CsNb3Bi crystal, with properties calculated at the PBE-GGA level.

The structure belongs to space group Pm-3m (No. 221); the cell edges are 5.399, 5.399 and 5.399 Å and the angles 90.00°, 90.00° and 90.00°. The distinct sites, in fractional coordinates, are Cs at (0.000, 0.000, 0.000), Nb at (0.000, 0.500, 0.500) and Bi at (0.500, 0.500, 0.500).

The formation energy from the elements comes out at 2.004 eV per atom. The calculation puts the total energy at -4.98 eV per atom. For the energy above the most stable polymorph in this dataset, the calculation gives 0 meV per atom. The value obtained for the density of states at the Fermi level is 12.6 states/eV per cell. For the total moment, the calculation gives 0.139 μB per atom. As for the mass density: 6.550 g/cm3.


(6)
Below is a relaxed CaTlCd3 crystal, with properties calculated at the PBE-GGA level.

The structure belongs to space group I-4m2 (No. 119); the cell edges are 5.449, 5.449 and 23.684 Å and the angles 90.00°, 90.00° and 90.00°. The distinct sites, in fractional coordinates, are Ca at (0.000, 0.000, 0.000), Ca at (0.000, 0.500, 0.250), Tl at (0.000, 0.000, 0.330), Cd at (0.000, 0.250, 0.124) and Cd at (0.000, 0.500, 0.594).

The formation energy from the elements comes out at 0.091 eV per atom. The calculation puts the total energy at -1.33 eV per atom. For the energy above the most stable polymorph in this dataset, the calculation gives 0 meV per atom. The value obtained for the density of states at the Fermi level is 11.3 states/eV per cell. For the total moment, the calculation gives 0.000 μB per atom. As for the mass density: 5.495 g/cm3.


(7)
Below is a relaxed Tm4Tl4Hg crystal, with properties calculated at the PBE-GGA level.

The structure belongs to space group I-42m (No. 121); the cell edges are 7.818, 7.818 and 8.930 Å and the angles 90.00°, 90.00° and 90.00°. The distinct sites, in fractional coordinates, are Tm at (0.233, 0.233, 0.180), Tl at (0.000, 0.000, 0.343), Tl at (0.000, 0.500, 0.000) and Hg at (0.000, 0.000, 0.000).

The formation energy from the elements comes out at 0.065 eV per atom. The calculation puts the total energy at -3.01 eV per atom. The value obtained for the density of states at the Fermi level is 15.8 states/eV per cell. For the total moment, the calculation gives 0.000 μB per atom. As for the mass density: 10.306 g/cm3.


(8)
Below is a relaxed Ba3Cd2Ga crystal, with properties calculated at the PBE-GGA level.

The structure belongs to space group Cmmm (No. 65); the cell edges are 5.908, 17.738 and 8.507 Å and the angles 90.00°, 90.00° and 90.00°. The distinct sites, in fractional coordinates, are Ba at (0.000, 0.000, 0.243), Ba at (0.000, 0.331, 0.240), Cd at (0.000, 0.165, 0.500), Cd at (0.000, 0.500, 0.000), Cd at (0.000, 0.500, 0.500) and Ga at (0.000, 0.166, 0.000).

The formation energy from the elements comes out at -0.318 eV per atom. The calculation puts the total energy at -2.09 eV per atom. The value obtained for the density of states at the Fermi level is 16.2 states/eV per cell. For the total moment, the calculation gives 0.000 μB per atom. As for the mass density: 5.264 g/cm3.


(9)
Below is a relaxed CsCeTeS crystal, with properties calculated at the PBE-GGA level.

The structure belongs to space group R3m (No. 160, hexagonal axes); the cell edges are 4.4439, 4.4439 and 26.0231 Å and the angles 90.00°, 90.00° and 120.00°. The distinct sites, in fractional coordinates, are Cs at (0.0000, 0.0000, 0.0000), Ce at (0.0000, 0.0000, 0.1557), Te at (0.0000, 0.0000, 0.5626) and S at (0.0000, 0.0000, 0.7701).

The energy relative to the elements, uncorrected comes out at -5.992 eV/f.u. The calculation puts the total energy at -5.01 eV per atom. The value obtained for the density of states at the Fermi level is 18.7 states/eV per cell. For the total moment, the calculation gives 0.250 μB per atom. As for the mass density: 4.843 g/cm3.


(10)
Below is a relaxed MgMoBr2 crystal, with properties calculated at the PBE-GGA level.

The structure belongs to space group F-43m (No. 216); the cell edges are 7.311, 7.311 and 7.311 Å and the angles 90.00°, 90.00° and 90.00°. The distinct sites, in fractional coordinates, are Mg at (0.000, 0.000, 0.000), Mo at (0.250, 0.250, 0.750), Br at (0.000, 0.000, 0.500) and Br at (0.250, 0.250, 0.250).

The energy relative to the elements, uncorrected comes out at 2.631 eV/f.u. The calculation puts the total energy at -3.29 eV per atom. For the energy above the most stable polymorph in this dataset, the calculation gives 882 meV per atom. The value obtained for the density of states at the Fermi level is 11.8 states/eV per cell. For the total moment, the calculation gives 1.089 μB per atom. As for the mass density: 4.759 g/cm3.


(11)
Below is a relaxed SiTeAu2 crystal, with properties calculated at the PBE-GGA level.

The structure belongs to space group P4/mmm (No. 123); the cell edges are 3.097, 3.097 and 8.794 Å and the angles 90.00°, 90.00° and 90.00°. The distinct sites, in fractional coordinates, are Si at (0.000, 0.000, 0.000), Te at (0.000, 0.000, 0.500) and Au at (0.500, 0.500, 0.186).

The energy relative to the elements, uncorrected comes out at 1.204 eV/f.u. The calculation puts the total energy at -3.48 eV per atom. For the energy above the most stable polymorph in this dataset, the calculation gives 245 meV per atom. The value obtained for the density of states at the Fermi level is 2.4 states/eV per cell. For the total moment, the calculation gives 0.000 μB per atom. As for the mass density: 10.821 g/cm3.


(12)
Below is a relaxed NdHo2Th4 crystal, with properties calculated at the PBE-GGA level.

The structure belongs to space group P4_2/mnm (No. 136); the cell edges are 9.355, 9.355 and 5.540 Å and the angles 90.00°, 90.00° and 90.00°. The distinct sites, in fractional coordinates, are Nd at (0.000, 0.000, 0.000), Ho at (0.186, 0.186, 0.500) and Th at (0.121, 0.624, 0.500).

The formation energy from the elements comes out at 0.298 eV per atom. The calculation puts the total energy at -5.93 eV per atom. The value obtained for the density of states at the Fermi level is 22.5 states/eV per cell. For the total moment, the calculation gives 0.000 μB per atom. As for the mass density: 9.606 g/cm3.


(13)
Below is a relaxed CrNiAs crystal, with properties calculated at the PBE-GGA level.

The structure belongs to space group F-43m (No. 216); the cell edges are 5.615, 5.615 and 5.615 Å and the angles 90.00°, 90.00° and 90.00°. The distinct sites, in fractional coordinates, are Cr at (0.000, 0.000, 0.000), Ni at (0.250, 0.250, 0.750) and As at (0.000, 0.000, 0.500).

The formation energy from the elements comes out at -0.073 eV per atom. The calculation puts the total energy at -6.76 eV per atom. The value obtained for the density of states at the Fermi level is 10.0 states/eV per cell. For the total moment, the calculation gives 1.000 μB per atom. As for the mass density: 6.965 g/cm3.


(14)
Below is a relaxed Li3LaIn crystal, with properties calculated at the PBE-GGA level.

The structure belongs to space group Pm-3m (No. 221); the cell edges are 5.614, 5.614 and 5.614 Å and the angles 90.00°, 90.00° and 90.00°. The distinct sites, in fractional coordinates, are Li at (0.000, 0.000, 0.500), La at (0.000, 0.000, 0.000) and In at (0.500, 0.500, 0.500).

The formation energy from the elements comes out at 0.994 eV per atom. The calculation puts the total energy at -1.69 eV per atom. For the energy above the most stable polymorph in this dataset, the calculation gives 956 meV per atom. The value obtained for the density of states at the Fermi level is 6.4 states/eV per cell. For the total moment, the calculation gives 0.533 μB per atom. As for the mass density: 2.577 g/cm3.


(15)
Below is a relaxed HfCd2Si2 crystal, with properties calculated at the PBE-GGA level.

The structure belongs to space group P4/mbm (No. 127); the cell edges are 7.812, 7.812 and 3.177 Å and the angles 90.00°, 90.00° and 90.00°. The distinct sites, in fractional coordinates, are Hf at (0.000, 0.000, 0.000), Cd at (0.124, 0.376, 0.000) and Si at (0.181, 0.681, 0.500).

The energy relative to the elements, uncorrected comes out at 1.885 eV/f.u. The calculation puts the total energy at -4.15 eV per atom. For the energy above the most stable polymorph in this dataset, the calculation gives 148 meV per atom. The value obtained for the density of states at the Fermi level is 4.9 states/eV per cell. For the total moment, the calculation gives 0.000 μB per atom. As for the mass density: 7.869 g/cm3.


(16)
Below is a relaxed K2RbRuF8 crystal, with properties calculated at the PBE-GGA level.

The structure belongs to space group P-3m1 (No. 164); the cell edges are 5.4524, 5.4524 and 8.6865 Å and the angles 90.00°, 90.00° and 120.00°. The distinct sites, in fractional coordinates, are K at (0.3333, 0.6667, 0.2507), Rb at (0.0000, 0.0000, 0.0000), Ru at (0.0000, 0.0000, 0.5000), F at (0.1616, 0.3231, 0.6324) and F at (0.3333, 0.6667, 0.9656).

The energy relative to the elements, uncorrected comes out at -26.257 eV/f.u. The calculation puts the total energy at -4.47 eV per atom. The value obtained for the density of states at the Fermi level is 8.3 states/eV per cell. For the total moment, the calculation gives 0.253 μB per atom. As for the mass density: 3.094 g/cm3.


(17)
Below is a relaxed VTcMo2 crystal, with properties calculated at the PBE-GGA level.

The structure belongs to space group Pnma (No. 62); the cell edges are 5.234, 8.935 and 5.208 Å and the angles 90.00°, 90.00° and 90.00°. The distinct sites, in fractional coordinates, are V at (0.002, 0.250, 0.211), Tc at (0.018, 0.750, 0.312) and Mo at (0.249, 0.000, 0.923).

The formation energy from the elements comes out at 0.077 eV per atom. The calculation puts the total energy at -10.21 eV per atom. For the energy above the most stable polymorph in this dataset, the calculation gives 174 meV per atom. The value obtained for the density of states at the Fermi level is 13.2 states/eV per cell. For the total moment, the calculation gives 0.000 μB per atom. As for the mass density: 9.294 g/cm3.